Entry 1:
Here is a relaxed Cu3Ag2 crystal from OQMD. Energies are from PBE-GGA.

Calculated values
Crystal system: monoclinic
Calculated formation energy, eV per formula unit: 0.56
Final energy, eV per atom: -3.2471
Polymorph energy (0 for the lowest one), eV per formula unit: 0.354

abc: 4.748 2.778 11.017
angles: 90.00 97.61 90.00
Fractional positions:
Ag 0.444 0.750 0.106
Ag 0.749 0.250 0.492
Ag 0.251 0.750 0.508
Ag 0.556 0.250 0.894
Cu 0.950 0.250 0.100
Cu 0.865 0.750 0.290
Cu 0.330 0.250 0.300
Cu 0.670 0.750 0.700
Cu 0.135 0.250 0.710
Cu 0.050 0.750 0.900

***

Entry 2:
Here is a relaxed Cu3Ag2 crystal from OQMD. Energies are from PBE-GGA.

Calculated values
Crystal system: orthorhombic
Calculated formation energy, eV per formula unit: 0.48
Final energy, eV per atom: -3.2631
Polymorph energy (0 for the lowest one), eV per formula unit: 0.274

abc: 9.846 9.846 3.828
angles: 90.00 90.00 157.38
Fractional positions:
Ag 0.845 0.155 0.250
Ag 0.448 0.552 0.250
Ag 0.552 0.448 0.750
Ag 0.155 0.845 0.750
Cu 0.656 0.344 0.250
Cu 0.250 0.750 0.250
Cu 0.051 0.949 0.250
Cu 0.949 0.051 0.750
Cu 0.750 0.250 0.750
Cu 0.344 0.656 0.750

***

Entry 3:
Here is a relaxed CuAg crystal from OQMD. Energies are from PBE-GGA.

Calculated values
Crystal system: monoclinic
Calculated formation energy, eV per formula unit: 0.22
Final energy, eV per atom: -3.1585

abc: 4.826 2.818 11.159
angles: 90.00 97.67 90.00
Fractional positions:
Ag 0.898 0.000 0.193
Ag 0.400 0.500 0.202
Ag 0.698 0.000 0.592
Ag 0.196 0.500 0.601
Ag 0.606 0.500 0.811
Cu 0.483 0.000 0.000
Cu 0.805 0.500 0.396
Cu 0.292 0.000 0.399
Cu 0.104 0.000 0.811
Cu 0.017 0.500 0.995

***

Entry 4:
Here is a relaxed Cu3Ag2 crystal from OQMD. Energies are from PBE-GGA.

Calculated values
Crystal system: tetragonal
Calculated formation energy, eV per formula unit: 0.36
Final energy, eV per atom: -3.2872
Polymorph energy (0 for the lowest one), eV per formula unit: 0.153

abc: 2.812 2.812 18.075
angles: 90.00 90.00 90.00
Fractional positions:
Ag 0.500 0.500 0.079
Ag 0.000 0.000 0.200
Ag 0.000 0.000 0.407
Ag 0.000 0.000 0.614
Cu 0.500 0.500 0.303
Cu 0.500 0.500 0.510
Cu 0.500 0.500 0.719
Cu 0.000 0.000 0.804
Cu 0.500 0.500 0.889
Cu 0.000 0.000 0.975

***

Entry 5:
Here is a relaxed CuAg crystal from OQMD. Energies are from PBE-GGA.

Calculated values
Crystal system: monoclinic
Calculated formation energy, eV per formula unit: 0.19
Final energy, eV per atom: -3.1774

abc: 5.532 3.962 6.030
angles: 90.00 114.90 90.00
Fractional positions:
Ag 0.189 0.250 0.115
Ag 0.572 0.750 0.365
Ag 0.428 0.250 0.635
Ag 0.811 0.750 0.885
Cu 0.704 0.250 0.139
Cu 0.062 0.750 0.388
Cu 0.938 0.250 0.612
Cu 0.296 0.750 0.861

***

Entry 6:
Here is a relaxed Cu3Ag5 crystal from OQMD. Energies are from PBE-GGA.

Calculated values
Crystal system: orthorhombic
Calculated formation energy, eV per formula unit: 0.50
Final energy, eV per atom: -3.0961
Polymorph energy (0 for the lowest one), eV per formula unit: 0.208

abc: 2.879 8.044 8.044
angles: 42.20 90.00 90.00
Fractional positions:
Ag 0.500 0.139 0.139
Ag 0.000 0.747 0.264
Ag 0.500 0.358 0.358
Ag 0.000 0.264 0.747
Ag 0.500 0.870 0.870
Cu 0.000 0.966 0.522
Cu 0.500 0.634 0.634
Cu 0.000 0.522 0.966

***

Entry 7:
Here is a relaxed Cu3Ag5 crystal from OQMD. Energies are from PBE-GGA.

Calculated values
Crystal system: monoclinic
Calculated formation energy, eV per formula unit: 0.83
Final energy, eV per atom: -3.0557
Polymorph energy (0 for the lowest one), eV per formula unit: 0.531

abc: 4.815 5.689 4.893
angles: 90.00 109.44 90.00
Fractional positions:
Ag 0.500 0.000 0.000
Ag 0.500 0.500 0.000
Ag 0.500 0.245 0.500
Ag 0.000 0.500 0.500
Ag 0.500 0.755 0.500
Cu 0.000 0.239 0.000
Cu 0.000 0.761 0.000
Cu 0.000 0.000 0.500

***

Entry 8:
Here is a relaxed Cu5Ag3 crystal from OQMD. Energies are from PBE-GGA.

Calculated values
Crystal system: orthorhombic
Calculated formation energy, eV per formula unit: 0.73
Final energy, eV per atom: -3.2909
Polymorph energy (0 for the lowest one), eV per formula unit: 0.355

abc: 3.601 6.309 6.309
angles: 52.33 90.00 90.00
Fractional positions:
Ag 0.000 0.635 0.126
Ag 0.500 0.239 0.239
Ag 0.000 0.126 0.635
Cu 0.500 0.008 0.008
Cu 0.000 0.857 0.384
Cu 0.500 0.513 0.513
Cu 0.500 0.739 0.739
Cu 0.000 0.384 0.857

***

Entry 9:
Here is a relaxed Cu3Ag2 crystal from OQMD. Energies are from PBE-GGA.

Calculated values
Crystal system: monoclinic
Calculated formation energy, eV per formula unit: 0.44
Final energy, eV per atom: -3.2710
Polymorph energy (0 for the lowest one), eV per formula unit: 0.234

abc: 7.408 7.408 5.561
angles: 100.95 100.95 28.69
Fractional positions:
Ag 0.000 0.000 0.000
Ag 0.613 0.613 0.306
Ag 0.000 0.000 0.500
Ag 0.387 0.387 0.694
Cu 0.207 0.207 0.091
Cu 0.388 0.388 0.192
Cu 0.799 0.799 0.381
Cu 0.201 0.201 0.619
Cu 0.612 0.612 0.808
Cu 0.793 0.793 0.909

***

Entry 10:
Here is a relaxed Cu7Ag2 crystal from OQMD. Energies are from PBE-GGA.

Calculated values
Crystal system: trigonal
Calculated formation energy, eV per formula unit: 0.82
Final energy, eV per atom: -3.4269
Polymorph energy (0 for the lowest one), eV per formula unit: 0.408

abc: 2.683 2.683 19.201
angles: 90.00 90.00 120.00
Fractional positions:
Ag 0.333 0.667 0.223
Ag 0.667 0.333 0.777
Cu 0.000 0.000 0.000
Cu 0.667 0.333 0.104
Cu 0.000 0.000 0.343
Cu 0.667 0.333 0.447
Cu 0.333 0.667 0.553
Cu 0.000 0.000 0.657
Cu 0.333 0.667 0.896

***

Entry 11:
Here is a relaxed Cu4Ag3 crystal from OQMD. Energies are from PBE-GGA.

Calculated values
Crystal system: monoclinic
Calculated formation energy, eV per formula unit: 0.46
Final energy, eV per atom: -3.2690
Polymorph energy (0 for the lowest one), eV per formula unit: 0.118

abc: 4.896 4.896 7.625
angles: 90.59 90.59 33.67
Fractional positions:
Ag 0.500 0.500 0.000
Ag 0.231 0.231 0.173
Ag 0.769 0.769 0.827
Cu 0.955 0.955 0.306
Cu 0.644 0.644 0.456
Cu 0.356 0.356 0.544
Cu 0.045 0.045 0.694

***

Entry 12:
Here is a relaxed Cu5Ag3 crystal from OQMD. Energies are from PBE-GGA.

Calculated values
Crystal system: monoclinic
Calculated formation energy, eV per formula unit: 0.80
Final energy, eV per atom: -3.2825
Polymorph energy (0 for the lowest one), eV per formula unit: 0.423

abc: 4.636 2.768 9.044
angles: 90.00 102.38 90.00
Fractional positions:
Ag 0.000 0.500 0.000
Ag 0.743 0.500 0.254
Ag 0.257 0.500 0.746
Cu 0.500 0.000 0.000
Cu 0.252 0.000 0.266
Cu 0.000 0.000 0.500
Cu 0.500 0.500 0.500
Cu 0.748 0.000 0.734